Entry from the Alexandria database: a relaxed structure of H2OsW (PBE).

The structure in extended XYZ format:
```
8
Lattice="4.1934 0.0000 0.0000 0.0000 4.1934 0.0000 2.0967 2.0967 4.1588" Properties=species:S:1:pos:R:3 pbc="T T T"
W 2.0967 4.1934 2.0794
W 2.0967 2.0967 0.0000
H 3.1450 3.0893 3.1191
H 5.2417 5.2975 3.1191
H 0.9926 3.1450 1.0397
H 3.2008 1.0483 1.0397
Os 0.0000 0.0000 0.0000
Os 4.1934 2.0967 2.0794
```

Computed properties:
- Distance to the lowest polymorph of the same formula: 0 meV/atom
- SG: I-42d (122)
- DOS at the Fermi energy: 0.508 states/eV per atom